Entry 1:
Material: MnNiRu2
Method: DFT, PBE
State: relaxed

a = 2.6477 Å, b = 2.6477 Å, c = 24.8852 Å
α = 90.00°, β = 90.00°, γ = 120.00°
Space group R3m (No. 160, hexagonal axes)
Symmetry-distinct sites (fractional):
Mn 0.0000 0.0000 0.0000 (multiplicity 3)
Ni 0.0000 0.0000 0.8348 (multiplicity 3)
Ru 0.0000 0.0000 0.2535 (multiplicity 3)
Ru 0.0000 0.0000 0.4140 (multiplicity 3)

Values from the calculation:
raw total energy: -99.633 eV/cell

Entry 2:
Material: MnNi14Ru
Method: DFT, PBE
State: relaxed

a = 8.225 Å, b = 5.009 Å, c = 8.721 Å
α = 90.00°, β = 90.00°, γ = 90.00°
Space group Amm2 (No. 38)
Symmetry-distinct sites (fractional):
Mn 0.000 0.000 0.000 (multiplicity 2)
Ni 0.000 0.250 0.251 (multiplicity 4)
Ni 0.252 0.000 0.168 (multiplicity 4)
Ni 0.252 0.000 0.669 (multiplicity 4)
Ni 0.253 0.249 0.918 (multiplicity 8)
Ni 0.500 0.000 0.335 (multiplicity 2)
Ni 0.500 0.000 0.835 (multiplicity 2)
Ni 0.500 0.250 0.085 (multiplicity 4)
Ru 0.000 0.000 0.501 (multiplicity 2)

Values from the calculation:
raw total energy: -197.938 eV/cell

Entry 3:
Material: MnNiRu
Method: DFT, PBE
State: relaxed

a = 2.635 Å, b = 3.603 Å, c = 7.729 Å
α = 90.00°, β = 90.00°, γ = 90.00°
Space group Imm2 (No. 44)
Symmetry-distinct sites (fractional):
Mn 0.000 0.000 0.000 (multiplicity 2)
Ni 0.000 0.000 0.666 (multiplicity 2)
Ru 0.000 0.000 0.334 (multiplicity 2)

Values from the calculation:
energy above the most stable polymorph in this dataset: 0 kJ/mol of formula units
raw total energy: -48.097 eV/cell

Entry 4:
Material: MnNi6Ru
Method: DFT, PBE
State: relaxed

a = 7.206 Å, b = 10.180 Å, c = 10.189 Å
α = 90.00°, β = 90.00°, γ = 90.00°
Space group Cmmm (No. 65)
Symmetry-distinct sites (fractional):
Mn 0.000 0.000 0.248 (multiplicity 4)
Mn 0.000 0.250 0.000 (multiplicity 4)
Ni 0.000 0.000 0.000 (multiplicity 2)
Ni 0.000 0.000 0.500 (multiplicity 2)
Ni 0.000 0.250 0.250 (multiplicity 8)
Ni 0.000 0.500 0.000 (multiplicity 2)
Ni 0.000 0.500 0.500 (multiplicity 2)
Ni 0.250 0.125 0.125 (multiplicity 16)
Ni 0.250 0.125 0.374 (multiplicity 16)
Ru 0.000 0.250 0.500 (multiplicity 4)
Ru 0.000 0.500 0.247 (multiplicity 4)

Values from the calculation:
raw total energy: -424.364 eV/cell

Entry 5:
Material: MnNiRu2
Method: DFT, PBE
State: relaxed

a = 3.748 Å, b = 3.748 Å, c = 7.258 Å
α = 90.00°, β = 90.00°, γ = 90.00°
Space group I4/mmm (No. 139)
Symmetry-distinct sites (fractional):
Mn 0.000 0.000 0.000 (multiplicity 2)
Ni 0.000 0.000 0.500 (multiplicity 2)
Ru 0.000 0.500 0.250 (multiplicity 4)

Values from the calculation:
raw total energy: -66.166 eV/cell

Entry 6:
Material: MnNi2Ru2
Method: DFT, PBE
State: relaxed

a = 3.172 Å, b = 3.172 Å, c = 13.013 Å
α = 90.00°, β = 90.00°, γ = 90.00°
Space group I4/mmm (No. 139)
Symmetry-distinct sites (fractional):
Mn 0.000 0.000 0.000 (multiplicity 2)
Ni 0.000 0.500 0.250 (multiplicity 4)
Ru 0.000 0.000 0.401 (multiplicity 4)

Values from the calculation:
energy above the most stable polymorph in this dataset: 115 kJ/mol of formula units
raw total energy: -73.241 eV/cell

Entry 7:
Material: MnNiRu2S
Method: DFT, PBE
State: relaxed

a = 4.406 Å, b = 4.406 Å, c = 4.226 Å
α = 90.00°, β = 90.00°, γ = 90.00°
Space group P4/mmm (No. 123)
Symmetry-distinct sites (fractional):
Mn 0.000 0.000 0.000 (multiplicity 1)
Ni 0.000 0.000 0.500 (multiplicity 1)
Ru 0.000 0.500 0.000 (multiplicity 2)
S 0.500 0.500 0.500 (multiplicity 1)

Values from the calculation:
formation energy without anion corrections: 1377 meV per atom
raw total energy: -30.747 eV/cell

Entry 8:
Material: ScMnNiRu
Method: DFT, PBE
State: relaxed

a = 6.156 Å, b = 6.156 Å, c = 6.156 Å
α = 90.00°, β = 90.00°, γ = 90.00°
Space group F-43m (No. 216)
Symmetry-distinct sites (fractional):
Sc 0.000 0.000 0.000 (multiplicity 4)
Mn 0.000 0.000 0.500 (multiplicity 4)
Ni 0.250 0.250 0.250 (multiplicity 4)
Ru 0.250 0.250 0.750 (multiplicity 4)

Values from the calculation:
raw total energy: -125.858 eV/cell

Entry 9:
Material: MnSiNiRu2
Method: DFT, PBE
State: relaxed

a = 4.352 Å, b = 4.352 Å, c = 4.250 Å
α = 90.00°, β = 90.00°, γ = 90.00°
Space group P4/mmm (No. 123)
Symmetry-distinct sites (fractional):
Mn 0.000 0.000 0.000 (multiplicity 1)
Si 0.000 0.000 0.500 (multiplicity 1)
Ni 0.500 0.500 0.500 (multiplicity 1)
Ru 0.000 0.500 0.000 (multiplicity 2)

Values from the calculation:
formation energy without anion corrections: 1120 meV per atom
raw total energy: -33.326 eV/cell

Entry 10:
Material: Sr2MnNiRu
Method: DFT, PBE
State: relaxed

a = 5.780 Å, b = 5.780 Å, c = 4.298 Å
α = 90.00°, β = 90.00°, γ = 90.00°
Space group P4/mmm (No. 123)
Symmetry-distinct sites (fractional):
Sr 0.000 0.500 0.000 (multiplicity 2)
Mn 0.000 0.000 0.000 (multiplicity 1)
Ni 0.000 0.000 0.500 (multiplicity 1)
Ru 0.500 0.500 0.500 (multiplicity 1)

Values from the calculation:
raw total energy: -22.062 eV/cell

Entry 11:
Material: TaMn2NiRu
Method: DFT, PBE
State: relaxed

a = 4.672 Å, b = 4.672 Å, c = 4.691 Å
α = 90.00°, β = 90.00°, γ = 90.00°
Space group P4/mmm (No. 123)
Symmetry-distinct sites (fractional):
Ta 0.000 0.000 0.000 (multiplicity 1)
Mn 0.000 0.500 0.500 (multiplicity 2)
Ni 0.500 0.500 0.000 (multiplicity 1)
Ru 0.000 0.000 0.500 (multiplicity 1)

Values from the calculation:
raw total energy: -38.525 eV/cell

Entry 12:
Material: MnV2NiRu
Method: DFT, PBE
State: relaxed

a = 4.501 Å, b = 4.501 Å, c = 4.578 Å
α = 90.00°, β = 90.00°, γ = 90.00°
Space group P4/mmm (No. 123)
Symmetry-distinct sites (fractional):
Mn 0.000 0.000 0.000 (multiplicity 1)
V 0.000 0.500 0.500 (multiplicity 2)
Ni 0.500 0.500 0.000 (multiplicity 1)
Ru 0.500 0.500 0.500 (multiplicity 1)

Values from the calculation:
raw total energy: -37.020 eV/cell

Entry 13:
Material: MnNiRuW
Method: DFT, PBE
State: relaxed

a = 6.000 Å, b = 6.000 Å, c = 6.000 Å
α = 90.00°, β = 90.00°, γ = 90.00°
Space group F-43m (No. 216)
Symmetry-distinct sites (fractional):
Mn 0.000 0.000 0.000 (multiplicity 4)
Ni 0.250 0.250 0.250 (multiplicity 4)
Ru 0.000 0.000 0.500 (multiplicity 4)
W 0.250 0.250 0.750 (multiplicity 4)

Values from the calculation:
raw total energy: -147.176 eV/cell

Entry 14:
Material: MnZnNiRu
Method: DFT, PBE
State: relaxed

a = 5.896 Å, b = 5.896 Å, c = 5.896 Å
α = 90.00°, β = 90.00°, γ = 90.00°
Space group F-43m (No. 216)
Symmetry-distinct sites (fractional):
Mn 0.000 0.000 0.000 (multiplicity 4)
Zn 0.000 0.000 0.500 (multiplicity 4)
Ni 0.250 0.250 0.750 (multiplicity 4)
Ru 0.250 0.250 0.250 (multiplicity 4)

Values from the calculation:
energy above the most stable polymorph in this dataset: 21 kJ/mol of formula units
raw total energy: -102.454 eV/cell